No. 1
Entry from OQMD: crystalline ZnCdGa at its relaxed geometry (PBE).

## Properties
Final energy, Ry per atom: -0.11569

Cell and atoms, written as POSCAR:
```
ZnCdGa
1.0
0.000 3.179 3.179
3.179 0.000 3.179
3.179 3.179 0.000
Zn Cd Ga
1 1 1
Direct
0.000 0.000 0.000 Zn
0.750 0.750 0.750 Cd
0.500 0.500 0.500 Ga
```

---

No. 2
Entry from OQMD: crystalline GdHo2Mg3Ir2Pd at its relaxed geometry (PBE).

## Properties
Final energy, Ry per atom: -0.38908

Cell and atoms, written as POSCAR:
```
GdHo2Mg3Ir2Pd
1.0
4.012 0.000 0.000
0.000 6.377 3.670
0.000 -6.377 3.670
Gd Ho Mg Ir Pd
1 2 3 2 1
Direct
0.000 0.000 0.000 Gd
0.000 0.168 0.583 Ho
0.000 0.583 0.168 Ho
0.500 0.335 0.335 Mg
0.500 0.582 0.832 Mg
0.500 0.832 0.582 Mg
0.500 0.252 0.916 Ir
0.500 0.916 0.252 Ir
0.000 0.581 0.581 Pd
```

---

No. 3
Entry from OQMD: crystalline ErInAu at its relaxed geometry (PBE).

## Properties
Final energy, Ry per atom: -0.29919

Cell and atoms, written as POSCAR:
```
ErInAu
1.0
7.313 0.000 0.000
-3.656 6.333 0.000
0.000 0.000 4.463
Er In Au
3 3 3
Direct
0.000 0.567 0.000 Er
0.433 0.433 0.000 Er
0.567 0.000 0.000 Er
0.000 0.000 0.000 In
0.333 0.667 0.500 In
0.667 0.333 0.500 In
0.000 0.248 0.500 Au
0.248 0.000 0.500 Au
0.752 0.752 0.500 Au
```

---

No. 4
Entry from OQMD: crystalline ZnMo4AuN2 at its relaxed geometry (PBE).

## Properties
Final energy, Ry per atom: -0.59532

Cell and atoms, written as POSCAR:
```
ZnMo4AuN2
1.0
2.847 0.000 0.000
-1.423 2.465 0.000
0.000 0.000 14.994
Zn Mo Au N
1 4 1 2
Direct
0.000 0.000 0.000 Zn
0.000 0.000 0.337 Mo
0.000 0.000 0.663 Mo
0.333 0.667 0.151 Mo
0.333 0.667 0.849 Mo
0.333 0.667 0.500 Au
0.667 0.333 0.244 N
0.667 0.333 0.756 N
```

---

No. 5
Entry from OQMD: crystalline GdIn3Ga at its relaxed geometry (PBE).

## Properties
Final energy, Ry per atom: -0.24443

Cell and atoms, written as POSCAR:
```
GdIn3Ga
1.0
4.108 0.000 0.000
-0.014 5.741 0.000
-1.457 -2.872 5.508
Gd In Ga
1 3 1
Direct
0.000 0.000 0.000 Gd
0.347 0.031 0.580 In
0.350 0.515 0.533 In
0.563 0.597 0.144 In
0.931 0.405 0.794 Ga
```

---

No. 6
Entry from OQMD: crystalline Y2Si2Pt at its relaxed geometry (PBE).

## Properties
Final energy, Ry per atom: -0.48564

Cell and atoms, written as POSCAR:
```
Y2Si2Pt
1.0
-1.773 1.773 8.292
1.773 -1.773 8.292
1.773 1.773 -8.292
Y Si Pt
2 2 1
Direct
0.103 0.103 0.000 Y
0.897 0.897 0.000 Y
0.250 0.750 0.500 Si
0.750 0.250 0.500 Si
0.500 0.500 0.000 Pt
```

---

No. 7
Entry from OQMD: crystalline ErZrAu at its relaxed geometry (PBE).

## Properties
Formation energy from the elements, meV per atom: 309
Excess energy over the best structure of this formula in the dataset, eV/atom: 0.3655

Cell and atoms, written as POSCAR:
```
ErZrAu
1.0
0.000 3.320 3.320
3.320 0.000 3.320
3.320 3.320 0.000
Er Zr Au
1 1 1
Direct
0.000 0.000 0.000 Er
0.750 0.750 0.750 Zr
0.500 0.500 0.500 Au
```

---

No. 8
Entry from OQMD: crystalline ZnTe2As at its relaxed geometry (PBE).

## Properties
Final energy, Ry per atom: -0.19372

Cell and atoms, written as POSCAR:
```
ZnTe2As
1.0
0.000 3.616 3.616
3.616 0.000 3.616
3.616 3.616 0.000
Zn Te As
1 2 1
Direct
0.000 0.000 0.000 Zn
0.250 0.250 0.250 Te
0.500 0.500 0.500 Te
0.750 0.750 0.750 As
```